4
Lattice="4.875 0.000 0.000 0.000 4.875 0.000 0.000 0.000 4.983" Properties=species:S:1:pos:R:3 comment="CaSm2Sb, optimized geometry, DFT PBE-GGA" magnetic_moment_mub_per_fu=0.00 de_polymorph_ev_per_fu=0.00 total_energy_ev_per_atom=-4.350 raw_formation_energy_ev_per_atom=-0.4593 space_group="P4/mmm (123)" n_ef_per_ev_cell=4.254 pbc="T T T"
Ca 0.000 0.000 0.000
Sm 0.000 2.437 2.492
Sm 2.437 0.000 2.492
Sb 2.437 2.437 0.000